[1]
PmTl2Au | GGA-PBE | optimized geometry

The structure in POSCAR format:
```
PmTl2Au
1.0
-4.0121 -2.4808 0.6561
2.4928 -3.8084 0.8437
0.0852 1.0542 4.5068
Tl Au Pm
2 1 1
Direct
0.0000 0.0000 0.5000
0.0000 0.5000 0.0000
0.5000 0.0000 0.0000
0.5000 0.5000 0.5000
```

Formation energy in meV per atom: -356.5

---

[2]
CuSiO | GGA-PBE | optimized geometry

The structure in POSCAR format:
```
CuSiO
1.0
-2.5201 -0.5607 0.4577
1.7580 -0.1908 1.9359
-2.2297 12.6946 3.2759
O Si Cu
2 2 2
Direct
0.6667 0.3333 0.3665
0.6667 0.3333 0.5302
0.6667 0.3333 0.9498
0.3333 0.6667 0.4484
0.3333 0.6667 0.0997
0.3333 0.6667 0.7999
```

ΔE_f (raw) in eV/atom: -0.68

---

[3]
ScCu2Tc | GGA-PBE | optimized geometry

The structure in POSCAR format:
```
ScCu2Tc
1.0
-0.9205 4.1765 -0.9885
-2.7565 -0.6532 -0.1930
-0.8135 0.9000 4.5601
Tc Sc Cu
1 1 2
Direct
0.5000 0.6882 0.8121
0.0000 0.5796 0.4537
0.0000 0.1125 0.9543
0.5000 0.1197 0.2798
```

Formation energy in meV per atom: 43.3

---

[4]
LaH2Pt2 | GGA-PBE | optimized geometry

The structure in POSCAR format:
```
LaH2Pt2
1.0
-1.8051 -1.6269 3.1563
3.5406 -1.0947 1.4606
1.1983 2.8699 4.6781
H Pt La
2 2 1
Direct
0.2754 0.2754 0.4491
0.7246 0.7246 0.5509
0.2500 0.7500 0.5000
0.7500 0.2500 0.5000
0.0000 0.0000 0.0000
```

---

Electronic total energy / eV per atom: -3.5467; -5.5011; -6.1792; -5.2018
Total magnetic moment / Bohr magnetons per cell: 0.00; 0.00; 0.00; 0.00